Entry 1:
Computed, not measured: crystalline NdY2Tm at its relaxed geometry at the PBE level of DFT.

Computed properties:
For the energy above the most stable polymorph in this dataset, the calculation gives 0.015 eV per atom. Its calculated formation energy is 24.3 meV per atom. For the density of states at the Fermi level, the calculation gives 6.2 states/eV/cell.

Unit cell a=3.582 b=3.582 c=11.834 alpha=81.29 beta=81.29 gamma=60.00
Atoms (fractional coordinates):
Y  0.748  0.748  0.755
Y  0.252  0.252  0.245
Tm  0.000  0.000  0.000
Nd  0.500  0.500  0.500

Entry 2:
Computed, not measured: crystalline NiSnSeN2 at its relaxed geometry at the PBE level of DFT.

Computed properties:
For the energy above the most stable polymorph in this dataset, the calculation gives 0.000 eV per atom. For the uncorrected formation energy, the calculation gives 1.060 eV per atom. For the density of states at the Fermi level, the calculation gives 2.4 states/eV/cell.

Unit cell a=3.917 b=3.917 c=5.027 alpha=90.00 beta=90.00 gamma=90.00
Atoms (fractional coordinates):
Ni  0.000  0.000  0.000
Sn  0.500  0.500  0.500
Se  0.000  0.000  0.500
N  0.000  0.500  0.000
N  0.500  0.000  0.000

Entry 3:
Computed, not measured: crystalline ErZr3Bi2 at its relaxed geometry at the PBE level of DFT.

Computed properties:
Its calculated formation energy is -291.0 meV per atom. For the density of states at the Fermi level, the calculation gives 10.3 states/eV/cell.

Unit cell a=4.038 b=10.179 c=9.279 alpha=123.45 beta=90.00 gamma=101.44
Atoms (fractional coordinates):
Er  0.887  0.773  0.895
Er  0.113  0.227  0.105
Zr  0.312  0.624  0.522
Zr  0.940  0.880  0.537
Zr  0.634  0.269  0.793
Zr  0.366  0.731  0.207
Zr  0.060  0.120  0.463
Zr  0.688  0.376  0.478
Bi  0.488  0.977  0.812
Bi  0.512  0.023  0.188
Bi  0.753  0.506  0.219
Bi  0.247  0.494  0.781